A plane-wave DFT calculation with PBE was carried out for a relaxed LaGeAu4 crystal.

Summary:
For the energy relative to the elements, the calculation gives -0.38 eV per atom. The calculation puts the offset from the most stable computed form at 64.3 meV/atom. Its crystal system is cubic.

Lattice parameters (Å, degrees): 5.664 5.664 5.664 60.00 60.00 60.00
Sites, in units of the cell vectors:
1 Au 0.625 0.625 0.625
2 La 0.250 0.250 0.250
3 Au 0.625 0.625 0.124
4 Au 0.124 0.625 0.625
5 Au 0.625 0.124 0.625
6 Ge 0.000 0.000 0.000

---

A plane-wave DFT calculation with PBE was carried out for a relaxed La2Ge4Au crystal.

Summary:
For the energy relative to the elements, the calculation gives -0.21 eV per atom. Its crystal system is tetragonal.

Lattice parameters (Å, degrees): 4.985 4.985 8.404 72.75 72.75 90.00
Sites, in units of the cell vectors:
1 Ge 0.168 0.168 0.664
2 Ge 0.000 0.500 0.000
3 Au 0.000 0.000 0.000
4 La 0.363 0.363 0.274
5 Ge 0.500 0.000 0.000
6 La 0.637 0.637 0.726
7 Ge 0.832 0.832 0.336

---

A plane-wave DFT calculation with PBE was carried out for a relaxed La3Ge4Au2 crystal.

Summary:
For the energy relative to the elements, the calculation gives -0.84 eV per atom. Its crystal system is monoclinic.

Lattice parameters (Å, degrees): 4.487 6.130 8.691 101.08 90.00 111.47
Sites, in units of the cell vectors:
1 Ge 0.286 0.572 0.956
2 Au 0.617 0.235 0.285
3 Au 0.383 0.765 0.715
4 Ge 0.714 0.428 0.044
5 Ge 0.948 0.897 0.616
6 La 0.000 0.000 0.000
7 La 0.663 0.326 0.671
8 La 0.337 0.674 0.329
9 Ge 0.052 0.103 0.384